Arrangement A

## HgPPd4 (PBE-GGA)

Data for an optimized crystal structure of HgPPd4.

```
data_HgPPd4
_symmetry_space_group_name_H-M 'P -1'
_symmetry_Int_Tables_number 2
_cell_length_a 5.4509
_cell_length_b 5.6489
_cell_length_c 7.2612
_cell_angle_alpha 101.73
_cell_angle_beta 111.94
_cell_angle_gamma 90.01
loop_
_symmetry_equiv_pos_as_xyz
'x,y,z'
'-x,-y,-z'
loop_
_atom_site_label
_atom_site_type_symbol
_atom_site_fract_x
_atom_site_fract_y
_atom_site_fract_z
Hg1 Hg 0.1150 0.2502 0.9999
P1 P 0.0000 0.5000 0.5000
P2 P 0.5000 0.0000 0.5000
Pd1 Pd 0.0786 0.1162 0.3672
Pd2 Pd 0.2886 0.6165 0.3671
Pd3 Pd 0.3272 0.5635 0.8147
Pd4 Pd 0.4879 0.0632 0.8151
```

=====

Arrangement B

## HgPPd4 (PBE-GGA)

Data for an optimized crystal structure of HgPPd4.

```
data_HgPPd4
_symmetry_space_group_name_H-M 'C 1 2/c 1'
_symmetry_Int_Tables_number 15
_cell_length_a 8.3765
_cell_length_b 11.1009
_cell_length_c 5.5778
_cell_angle_alpha 90.00
_cell_angle_beta 125.05
_cell_angle_gamma 90.00
loop_
_symmetry_equiv_pos_as_xyz
'x,y,z'
'-x,-y,-z'
'-x,y,-z+1/2'
'x,-y,z+1/2'
'x+1/2,y+1/2,z'
'-x+1/2,-y+1/2,-z'
'-x+1/2,y+1/2,-z+1/2'
'x+1/2,-y+1/2,z+1/2'
loop_
_atom_site_label
_atom_site_type_symbol
_atom_site_fract_x
_atom_site_fract_y
_atom_site_fract_z
Hg1 Hg 0.0000 0.0884 0.2500
P1 P 0.0000 0.3285 0.7500
Pd1 Pd 0.1794 0.4858 0.7526
Pd2 Pd 0.2378 0.2664 0.2354
```

=====

Best to worst by energy: arrangement A, arrangement B.

=====

Arrangement A

## Rb2HgPPd (PBE-GGA)

Data for an optimized crystal structure of Rb2HgPPd.

```
data_Rb2HgPPd
_symmetry_space_group_name_H-M 'P 4/m m m'
_symmetry_Int_Tables_number 123
_symmetry_space_group_name_Hall '-P 4 2'
_cell_length_a 6.6350
_cell_length_b 6.6350
_cell_length_c 4.4450
_cell_angle_alpha 90.00
_cell_angle_beta 90.00
_cell_angle_gamma 90.00
loop_
_atom_site_label
_atom_site_type_symbol
_atom_site_fract_x
_atom_site_fract_y
_atom_site_fract_z
Rb1 Rb 0.0000 0.5000 0.0000
Hg1 Hg 0.0000 0.0000 0.5000
P1 P 0.5000 0.5000 0.0000
Pd1 Pd 0.5000 0.5000 0.5000
```

=====

Arrangement B

## Rb2HgPPd (PBE-GGA)

Data for an optimized crystal structure of Rb2HgPPd.

```
data_Rb2HgPPd
_symmetry_space_group_name_H-M 'P 4/m m m'
_symmetry_Int_Tables_number 123
_symmetry_space_group_name_Hall '-P 4 2'
_cell_length_a 6.5900
_cell_length_b 6.5900
_cell_length_c 4.4575
_cell_angle_alpha 90.00
_cell_angle_beta 90.00
_cell_angle_gamma 90.00
loop_
_atom_site_label
_atom_site_type_symbol
_atom_site_fract_x
_atom_site_fract_y
_atom_site_fract_z
Rb1 Rb 0.0000 0.5000 0.0000
Hg1 Hg 0.0000 0.0000 0.5000
P1 P 0.5000 0.5000 0.5000
Pd1 Pd 0.5000 0.5000 0.0000
```

=====

Best to worst by energy: arrangement A, arrangement B.

=====

Arrangement A

## HgPPdS2 (PBE-GGA)

Data for an optimized crystal structure of HgPPdS2.

```
data_HgPPdS2
_symmetry_space_group_name_H-M 'P 4/m m m'
_symmetry_Int_Tables_number 123
_symmetry_space_group_name_Hall '-P 4 2'
_cell_length_a 4.9501
_cell_length_b 4.9501
_cell_length_c 4.4506
_cell_angle_alpha 90.00
_cell_angle_beta 90.00
_cell_angle_gamma 90.00
loop_
_atom_site_label
_atom_site_type_symbol
_atom_site_fract_x
_atom_site_fract_y
_atom_site_fract_z
Hg1 Hg 0.0000 0.0000 0.0000
P1 P 0.5000 0.5000 0.0000
Pd1 Pd 0.5000 0.5000 0.5000
S1 S 0.0000 0.5000 0.5000
```

=====

Arrangement B

## HgPPdS2 (PBE-GGA)

Data for an optimized crystal structure of HgPPdS2.

```
data_HgPPdS2
_symmetry_space_group_name_H-M 'P 4/m m m'
_symmetry_Int_Tables_number 123
_symmetry_space_group_name_Hall '-P 4 2'
_cell_length_a 4.9830
_cell_length_b 4.9830
_cell_length_c 4.9652
_cell_angle_alpha 90.00
_cell_angle_beta 90.00
_cell_angle_gamma 90.00
loop_
_atom_site_label
_atom_site_type_symbol
_atom_site_fract_x
_atom_site_fract_y
_atom_site_fract_z
Hg1 Hg 0.0000 0.0000 0.0000
P1 P 0.0000 0.0000 0.5000
Pd1 Pd 0.5000 0.5000 0.5000
S1 S 0.0000 0.5000 0.0000
```

=====

Best to worst by energy: arrangement A, arrangement B.

=====

Arrangement A

## PmHgP (PBE-GGA)

Data for an optimized crystal structure of PmHgP.

```
data_PmHgP
_symmetry_space_group_name_H-M 'P 1 21/c 1'
_symmetry_Int_Tables_number 14
_cell_length_a 5.2294
_cell_length_b 7.9664
_cell_length_c 7.1764
_cell_angle_alpha 90.00
_cell_angle_beta 97.14
_cell_angle_gamma 90.00
loop_
_symmetry_equiv_pos_as_xyz
'x,y,z'
'-x,-y,-z'
'-x,y+1/2,-z+1/2'
'x,-y+1/2,z+1/2'
loop_
_atom_site_label
_atom_site_type_symbol
_atom_site_fract_x
_atom_site_fract_y
_atom_site_fract_z
Pm1 Pm 0.1742 0.0844 0.3044
Hg1 Hg 0.2948 0.6934 0.4932
P1 P 0.3401 0.0908 0.7029
```

=====

Arrangement B

## PmHgP (PBE-GGA)

Data for an optimized crystal structure of PmHgP.

```
data_PmHgP
_symmetry_space_group_name_H-M 'P 3 m 1'
_symmetry_Int_Tables_number 156
_cell_length_a 4.2192
_cell_length_b 4.2192
_cell_length_c 4.9996
_cell_angle_alpha 90.00
_cell_angle_beta 90.00
_cell_angle_gamma 120.00
loop_
_symmetry_equiv_pos_as_xyz
'x,y,z'
'-y,x-y,z'
'-x+y,-x,z'
'-y,-x,z'
'-x+y,y,z'
'x,x-y,z'
loop_
_atom_site_label
_atom_site_type_symbol
_atom_site_fract_x
_atom_site_fract_y
_atom_site_fract_z
Pm1 Pm 0.0000 0.0000 0.0000
Hg1 Hg 0.3333 0.6667 0.5734
P1 P 0.6667 0.3333 0.2848
```

=====

Best to worst by energy: arrangement A, arrangement B.

=====

Arrangement A

## Pr2HgP (PBE-GGA)

Data for an optimized crystal structure of Pr2HgP.

```
data_Pr2HgP
_symmetry_space_group_name_H-M 'R -3 m'
_symmetry_Int_Tables_number 166
_symmetry_space_group_name_Hall '-R 3 2"'
_cell_length_a 4.1783
_cell_length_b 4.1783
_cell_length_c 23.1336
_cell_angle_alpha 90.00
_cell_angle_beta 90.00
_cell_angle_gamma 120.00
loop_
_atom_site_label
_atom_site_type_symbol
_atom_site_fract_x
_atom_site_fract_y
_atom_site_fract_z
Pr1 Pr 0.0000 0.0000 0.2364
Hg1 Hg 0.0000 0.0000 0.0000
P1 P 0.0000 0.0000 0.5000
```

=====

Arrangement B

## Pr2HgP (PBE-GGA)

Data for an optimized crystal structure of Pr2HgP.

```
data_Pr2HgP
_symmetry_space_group_name_H-M 'P 4/m m m'
_symmetry_Int_Tables_number 123
_symmetry_space_group_name_Hall '-P 4 2'
_cell_length_a 3.7921
_cell_length_b 3.7921
_cell_length_c 7.1739
_cell_angle_alpha 90.00
_cell_angle_beta 90.00
_cell_angle_gamma 90.00
loop_
_atom_site_label
_atom_site_type_symbol
_atom_site_fract_x
_atom_site_fract_y
_atom_site_fract_z
Pr1 Pr 0.0000 0.0000 0.2244
Hg1 Hg 0.5000 0.5000 0.5000
P1 P 0.5000 0.5000 0.0000
```

=====

Best to worst by energy: arrangement A, arrangement B.

=====

Arrangement A

## Hg3PPt (PBE-GGA)

Data for an optimized crystal structure of Hg3PPt.

```
data_Hg3PPt
_symmetry_space_group_name_H-M 'P m -3 m'
_symmetry_Int_Tables_number 221
_symmetry_space_group_name_Hall '-P 4 2 3'
_cell_length_a 5.0147
_cell_length_b 5.0147
_cell_length_c 5.0147
_cell_angle_alpha 90.00
_cell_angle_beta 90.00
_cell_angle_gamma 90.00
loop_
_atom_site_label
_atom_site_type_symbol
_atom_site_fract_x
_atom_site_fract_y
_atom_site_fract_z
Hg1 Hg 0.0000 0.0000 0.5000
P1 P 0.0000 0.0000 0.0000
Pt1 Pt 0.5000 0.5000 0.5000
```

=====

Arrangement B

## Hg3PPt (PBE-GGA)

Data for an optimized crystal structure of Hg3PPt.

```
data_Hg3PPt
_symmetry_space_group_name_H-M 'P m -3 m'
_symmetry_Int_Tables_number 221
_symmetry_space_group_name_Hall '-P 4 2 3'
_cell_length_a 5.3012
_cell_length_b 5.3012
_cell_length_c 5.3012
_cell_angle_alpha 90.00
_cell_angle_beta 90.00
_cell_angle_gamma 90.00
loop_
_atom_site_label
_atom_site_type_symbol
_atom_site_fract_x
_atom_site_fract_y
_atom_site_fract_z
Hg1 Hg 0.0000 0.0000 0.5000
P1 P 0.5000 0.5000 0.5000
Pt1 Pt 0.0000 0.0000 0.0000
```

=====

Best to worst by energy: arrangement B, arrangement A.

=====

Arrangement A

## HgPPtS2 (PBE-GGA)

Data for an optimized crystal structure of HgPPtS2.

```
data_HgPPtS2
_symmetry_space_group_name_H-M 'P 4/m m m'
_symmetry_Int_Tables_number 123
_symmetry_space_group_name_Hall '-P 4 2'
_cell_length_a 4.8989
_cell_length_b 4.8989
_cell_length_c 4.9622
_cell_angle_alpha 90.00
_cell_angle_beta 90.00
_cell_angle_gamma 90.00
loop_
_atom_site_label
_atom_site_type_symbol
_atom_site_fract_x
_atom_site_fract_y
_atom_site_fract_z
Hg1 Hg 0.0000 0.0000 0.0000
P1 P 0.0000 0.0000 0.5000
Pt1 Pt 0.5000 0.5000 0.5000
S1 S 0.0000 0.5000 0.0000
```

=====

Arrangement B

## HgPPtS2 (PBE-GGA)

Data for an optimized crystal structure of HgPPtS2.

```
data_HgPPtS2
_symmetry_space_group_name_H-M 'P 4/m m m'
_symmetry_Int_Tables_number 123
_symmetry_space_group_name_Hall '-P 4 2'
_cell_length_a 5.0335
_cell_length_b 5.0335
_cell_length_c 4.4027
_cell_angle_alpha 90.00
_cell_angle_beta 90.00
_cell_angle_gamma 90.00
loop_
_atom_site_label
_atom_site_type_symbol
_atom_site_fract_x
_atom_site_fract_y
_atom_site_fract_z
Hg1 Hg 0.0000 0.0000 0.0000
P1 P 0.5000 0.5000 0.0000
Pt1 Pt 0.5000 0.5000 0.5000
S1 S 0.0000 0.5000 0.5000
```

=====

Best to worst by energy: arrangement B, arrangement A.

=====

Arrangement A

## Rb2HgP2 (PBE-GGA)

Data for an optimized crystal structure of Rb2HgP2.

```
data_Rb2HgP2
_symmetry_space_group_name_H-M 'P 4/m b m'
_symmetry_Int_Tables_number 127
_symmetry_space_group_name_Hall '-P 4 2ab'
_cell_length_a 10.5994
_cell_length_b 10.5994
_cell_length_c 2.9392
_cell_angle_alpha 90.00
_cell_angle_beta 90.00
_cell_angle_gamma 90.00
loop_
_atom_site_label
_atom_site_type_symbol
_atom_site_fract_x
_atom_site_fract_y
_atom_site_fract_z
Rb1 Rb 0.1419 0.3581 0.0000
Hg1 Hg 0.0000 0.0000 0.0000
P1 P 0.1546 0.6546 0.5000
```

=====

Arrangement B

## Rb2HgP2 (PBE-GGA)

Data for an optimized crystal structure of Rb2HgP2.

```
data_Rb2HgP2
_symmetry_space_group_name_H-M 'I 4/m m m'
_symmetry_Int_Tables_number 139
_symmetry_space_group_name_Hall '-I 4 2'
_cell_length_a 6.4819
_cell_length_b 6.4819
_cell_length_c 9.4145
_cell_angle_alpha 90.00
_cell_angle_beta 90.00
_cell_angle_gamma 90.00
loop_
_atom_site_label
_atom_site_type_symbol
_atom_site_fract_x
_atom_site_fract_y
_atom_site_fract_z
Rb1 Rb 0.0000 0.5000 0.2500
Hg1 Hg 0.0000 0.0000 0.0000
P1 P 0.0000 0.0000 0.3899
```

=====

Arrangement C

## Rb2HgP2 (PBE-GGA)

Data for an optimized crystal structure of Rb2HgP2.

```
data_Rb2HgP2
_symmetry_space_group_name_H-M 'P 4/m b m'
_symmetry_Int_Tables_number 127
_symmetry_space_group_name_Hall '-P 4 2ab'
_cell_length_a 8.8033
_cell_length_b 8.8033
_cell_length_c 4.5188
_cell_angle_alpha 90.00
_cell_angle_beta 90.00
_cell_angle_gamma 90.00
loop_
_atom_site_label
_atom_site_type_symbol
_atom_site_fract_x
_atom_site_fract_y
_atom_site_fract_z
Rb1 Rb 0.2008 0.2992 0.0000
Hg1 Hg 0.0000 0.0000 0.5000
P1 P 0.0824 0.5824 0.5000
```

=====

Best to worst by energy: arrangement C, arrangement B, arrangement A.